Entry 1:
ScGaSnPt2: relaxed, GGA-PBE.

The structure in POSCAR format:
```
ScGaSnPt2
1.0
4.989 0.000 0.000
0.000 4.989 0.000
0.000 0.000 5.287
Sc Ga Sn Pt
1 1 1 2
direct
0.000 0.000 0.500 Sc
0.500 0.500 0.500 Ga
0.000 0.000 0.000 Sn
0.000 0.500 0.000 Pt
0.500 0.000 0.000 Pt
```

Calculated values
M_tot	0.00	μB/cell
SG	P4/mmm, No. 123
calculated formation energy	0.51	eV per atom



Entry 2:
AlV2C: relaxed, GGA-PBE.

The structure in POSCAR format:
```
AlV2C
1.0
0.000 2.869 2.869
2.869 0.000 2.869
2.869 2.869 0.000
C Al V
1 1 2
direct
0.000 0.000 0.000 C
0.500 0.500 0.500 Al
0.250 0.250 0.250 V
0.750 0.750 0.750 V
```

Calculated values
M_tot	0.93	μB/cell
SG	Fm-3m, No. 225
calculated formation energy	0.92	eV per atom



> What is the formula in the second record?

AlV2C